Material: Ac2Al3Tc
Method: DFT, PBE
State: relaxed

For the total energy, the calculation gives -5.18 eV/atom. The formation energy comes out at -0.21 eV/atom. The calculation puts the calculated volume at 22.98 A^3/atom.

The space group is R-3m (No. 166, hexagonal axes) and the conventional cell measures 5.8332, 5.8332 and 14.0358 Å, with angles of 90.00, 90.00 and 120.00 degrees. The distinct sites, in fractional coordinates, are Ac at (0.0000, 0.0000, 0.1278), Al at (0.0000, 0.5000, 0.0000) and Tc at (0.0000, 0.0000, 0.5000).

Material: AcAl3Tc
Method: DFT, PBE
State: relaxed

For the total energy, the calculation gives -5.52 eV/atom. The formation energy comes out at -0.38 eV/atom. The calculation puts the calculated volume at 22.57 A^3/atom.

The space group is Pm-3m (No. 221) and the conventional cell measures 4.832, 4.832 and 4.832 Å, with angles of 90.00, 90.00 and 90.00 degrees. The distinct sites, in fractional coordinates, are Ac at (0.000, 0.000, 0.000), Al at (0.000, 0.500, 0.500) and Tc at (0.500, 0.500, 0.500).

Material: Ac2Al2Te7
Method: DFT, PBE
State: relaxed

For the total energy, the calculation gives -4.18 eV/atom. As for the formation energy without anion corrections: -0.76 eV per atom. The calculation puts the calculated volume at 42.56 A^3/atom.

The space group is C2/m (No. 12) and the conventional cell measures 9.694, 13.709 and 7.506 Å, with angles of 90.00, 110.17 and 90.00 degrees. The distinct sites, in fractional coordinates, are Ac at (0.000, 0.201, 0.000), Al at (0.243, 0.500, 0.386), Te at (0.000, 0.500, 0.500), Te at (0.176, 0.000, 0.241) and Te at (0.218, 0.166, 0.749).

Material: Ac3Al5Te12
Method: DFT, PBE
State: relaxed

For the total energy, the calculation gives -4.28 eV/atom. As for the formation energy without anion corrections: -0.84 eV per atom. The calculation puts the calculated volume at 34.11 A^3/atom.

The space group is Ia-3d (No. 230) and the conventional cell measures 17.606, 17.606 and 17.606 Å, with angles of 90.00, 90.00 and 90.00 degrees. The distinct sites, in fractional coordinates, are Ac at (0.000, 0.250, 0.125), Al at (0.000, 0.000, 0.000), Al at (0.000, 0.250, 0.375) and Te at (0.030, 0.056, 0.647).

Material: AcAlTe4
Method: DFT, PBE
State: relaxed

For the total energy, the calculation gives -4.16 eV/atom. As for the formation energy without anion corrections: -0.75 eV per atom. The calculation puts the calculated volume at 36.55 A^3/atom.

The space group is P2/c (No. 13) and the conventional cell measures 6.441, 8.139 and 8.370 Å, with angles of 90.00, 91.56 and 90.00 degrees. The distinct sites, in fractional coordinates, are Ac at (0.000, 0.238, 0.250), Al at (0.500, 0.232, 0.750), Te at (0.234, 0.078, 0.572) and Te at (0.300, 0.436, 0.944).

Material: Ac6AlTe5
Method: DFT, PBE
State: relaxed

For the total energy, the calculation gives -4.81 eV/atom. As for the formation energy without anion corrections: -1.13 eV per atom. The calculation puts the calculated volume at 33.70 A^3/atom.

The space group is Cmmm (No. 65) and the conventional cell measures 5.787, 17.467 and 8.001 Å, with angles of 90.00, 90.00 and 90.00 degrees. The distinct sites, in fractional coordinates, are Ac at (0.000, 0.000, 0.243), Ac at (0.000, 0.336, 0.246), Al at (0.000, 0.500, 0.000), Te at (0.000, 0.166, 0.500), Te at (0.000, 0.172, 0.000) and Te at (0.000, 0.500, 0.500).

Material: AcAlTe
Method: DFT, PBE
State: relaxed

For the total energy, the calculation gives -4.32 eV/atom. As for the formation energy without anion corrections: -0.66 eV per atom. The calculation puts the calculated volume at 33.22 A^3/atom.

The space group is P4/nmm (No. 129, origin choice 2) and the conventional cell measures 4.239, 4.239 and 11.092 Å, with angles of 90.00, 90.00 and 90.00 degrees. The distinct sites, in fractional coordinates, are Ac at (0.250, 0.250, 0.229), Al at (0.250, 0.250, 0.536) and Te at (0.250, 0.250, 0.889).

Material: Ac5Al2Te2
Method: DFT, PBE
State: relaxed

For the total energy, the calculation gives -4.58 eV/atom. As for the formation energy without anion corrections: -0.76 eV per atom. The calculation puts the calculated volume at 35.72 A^3/atom.

The space group is Cmce (No. 64) and the conventional cell measures 17.023, 8.675 and 8.709 Å, with angles of 90.00, 90.00 and 90.00 degrees. The distinct sites, in fractional coordinates, are Ac at (0.000, 0.000, 0.000), Ac at (0.135, 0.171, 0.332), Al at (0.000, 0.116, 0.613) and Te at (0.201, 0.000, 0.000).

no.,M_tot (μB/cell)
1,0.00
2,0.00
3,0.00
4,0.00
5,0.00
6,0.00
7,0.00
8,0.02